[1]
# SmDyPbO2, optimized geometry, DFT PBE
# Formation energy from raw total energies (eV per atom): -2.520
# V (Å³/cell): 216.9
# M_tot (μB per atom): 0.000
data_SmDyPbO2
_cell_length_a 3.8909
_cell_length_b 3.8909
_cell_length_c 14.3292
_cell_angle_alpha 90.00
_cell_angle_beta 90.00
_cell_angle_gamma 90.00
_symmetry_space_group_name_H-M 'I 4 m m'
_symmetry_Int_Tables_number 107
_symmetry_space_group_name_Hall 'I 4 -2'
loop_
_atom_site_label
_atom_site_type_symbol
_atom_site_fract_x
_atom_site_fract_y
_atom_site_fract_z
_atom_site_occupancy
Sm1 Sm 0.0000 0.0000 0.0000 1
Dy1 Dy 0.0000 0.0000 0.3398 1
Pb1 Pb 0.0000 0.0000 0.6705 1
O1 O 0.0000 0.5000 0.4159 1



[2]
# Sr2Dy4Pb3O2, optimized geometry, DFT PBE
# Formation energy from raw total energies (eV per atom): -1.426
# V (Å³/cell): 597.1
# M_tot (μB per atom): 0.000
data_Sr2Dy4Pb3O2
_cell_length_a 4.7779
_cell_length_b 4.7779
_cell_length_c 26.1545
_cell_angle_alpha 90.00
_cell_angle_beta 90.00
_cell_angle_gamma 90.00
_symmetry_space_group_name_H-M 'I 4/m m m'
_symmetry_Int_Tables_number 139
_symmetry_space_group_name_Hall '-I 4 2'
loop_
_atom_site_label
_atom_site_type_symbol
_atom_site_fract_x
_atom_site_fract_y
_atom_site_fract_z
_atom_site_occupancy
Sr1 Sr 0.0000 0.0000 0.1958 1
Dy1 Dy 0.0000 0.5000 0.0828 1
Pb1 Pb 0.0000 0.0000 0.3317 1
Pb2 Pb 0.0000 0.0000 0.5000 1
O1 O 0.0000 0.0000 0.0902 1



[3]
# Sr2DyPbO6, optimized geometry, DFT PBE
# Formation energy from raw total energies (eV per atom): -2.254
# V (Å³/cell): 312.5
# M_tot (μB per atom): 0.111
data_Sr2DyPbO6
_cell_length_a 5.9867
_cell_length_b 6.1295
_cell_length_c 10.3889
_cell_angle_alpha 90.00
_cell_angle_beta 124.94
_cell_angle_gamma 90.00
_symmetry_space_group_name_H-M 'P 1 21/c 1'
_symmetry_Int_Tables_number 14
loop_
_symmetry_equiv_pos_as_xyz
'x,y,z'
'-x,-y,-z'
'-x,y+1/2,-z+1/2'
'x,-y+1/2,z+1/2'
loop_
_atom_site_label
_atom_site_type_symbol
_atom_site_fract_x
_atom_site_fract_y
_atom_site_fract_z
_atom_site_occupancy
Sr1 Sr 0.2349 0.0476 0.2497 1
Dy1 Dy 0.5000 0.0000 0.0000 1
Pb1 Pb 0.0000 0.0000 0.5000 1
O1 O 0.1467 0.2111 0.9447 1
O2 O 0.2369 0.7056 0.9459 1
O3 O 0.3495 0.0417 0.7466 1